DFT (GGA-PBE) results for a relaxed structure of V2Mo2Cl7.

Properties
ΔE_f (raw)	-0.805	eV/atom
E_tot	-123.4	eV per cell
crystal system	monoclinic
space-group type	C2/c, No. 15

Lattice parameters (Å, degrees): 9.503 9.503 7.742 99.88 99.88 118.63
Element x y z (fractional)
V1 0.006 0.230 0.337
V2 0.230 0.006 0.837
V3 0.770 0.994 0.163
V4 0.994 0.770 0.663
Mo1 0.016 0.109 0.936
Mo2 0.109 0.016 0.436
Mo3 0.891 0.984 0.564
Mo4 0.984 0.891 0.064
Cl1 0.023 0.721 0.364
Cl2 0.089 0.388 0.136
Cl3 0.240 0.760 0.750
Cl4 0.279 0.977 0.136
Cl5 0.281 0.310 0.472
Cl6 0.310 0.281 0.972
Cl7 0.388 0.089 0.636
Cl8 0.612 0.911 0.364
Cl9 0.690 0.719 0.028
Cl10 0.719 0.690 0.528
Cl11 0.721 0.023 0.864
Cl12 0.760 0.240 0.250
Cl13 0.911 0.612 0.864
Cl14 0.977 0.279 0.636